# 1
The following is a DFT calculation (PBE) of a geometry-optimized LiSm2P structure.

Cell: 10.3966 10.3966 10.3966 Å, 21.37 21.37 21.37°
With the nearest neighbours (Å) after each atom.
Positions (direct):
1 Li 0.0000 0.0000 0.0000  2 Sm 3.44
2 Sm 0.1129 0.1129 0.1129  3 P 2.76
3 Sm 0.8871 0.8871 0.8871  3 P 2.76
4 P 0.5000 0.5000 0.5000  6 Sm 2.76

## Properties
- symmetry = R-3m
- DOS at the Fermi energy (states/eV/f.u.) = 4.16
- DFT formation energy (eV/atom) = -0.52

# 2
The following is a DFT calculation (PBE) of a geometry-optimized LiSm2P structure.

Cell: 4.8187 4.8187 3.8506 Å, 90.00 90.00 90.00°
With the nearest neighbours (Å) after each atom.
Positions (direct):
1 Li 0.0000 0.0000 0.0000  8 Sm 3.08, 4 P 3.41
2 Sm 0.0000 0.5000 0.5000  4 P 3.08, 4 Li 3.08, 4 Sm 3.41
3 Sm 0.5000 0.0000 0.5000  4 P 3.08, 4 Li 3.08, 4 Sm 3.41
4 P 0.5000 0.5000 0.0000  8 Sm 3.08, 4 Li 3.41

## Properties
- symmetry = P4/mmm
- DOS at the Fermi energy (states/eV/f.u.) = 2.88
- DFT formation energy (eV/atom) = -0.57

# 3
The following is a DFT calculation (PBE) of a geometry-optimized Li4SmP2 structure.

Cell: 7.5292 7.5292 4.0440 Å, 90.00 90.00 90.00°
With the nearest neighbours (Å) after each atom.
Positions (direct):
1 Li 0.0959 0.3334 0.0000  3 P 2.49-2.51, 1 Li 2.53
2 Li 0.1666 0.5959 0.5000  3 P 2.49-2.51, 1 Li 2.53
3 Li 0.3334 0.0959 0.0000  3 P 2.49-2.51, 1 Li 2.53
4 Li 0.4041 0.8334 0.5000  3 P 2.49-2.51, 1 Li 2.53
5 Li 0.5959 0.1666 0.5000  3 P 2.49-2.51, 1 Li 2.53
6 Li 0.6666 0.9041 0.0000  3 P 2.49-2.51, 1 Li 2.53
7 Li 0.8334 0.4041 0.5000  3 P 2.49-2.51, 1 Li 2.53
8 Li 0.9041 0.6666 0.0000  3 P 2.49-2.51, 1 Li 2.53
9 Sm 0.0000 0.0000 0.5000  6 P 3.03-3.06, 12 Li 3.29-3.30
10 Sm 0.5000 0.5000 0.0000  6 P 3.03-3.06, 12 Li 3.29-3.30
11 P 0.2122 0.7878 0.0000  6 Li 2.49-2.51
12 P 0.2878 0.2878 0.5000  6 Li 2.49-2.51
13 P 0.7122 0.7122 0.5000  6 Li 2.49-2.51
14 P 0.7878 0.2122 0.0000  6 Li 2.49-2.51

## Properties
- symmetry = P4_2/mnm
- DOS at the Fermi energy (states/eV/f.u.) = 3.71
- DFT formation energy (eV/atom) = -0.82

# 4
The following is a DFT calculation (PBE) of a geometry-optimized Li3SmP2 structure.

Cell: 8.1884 8.1884 9.9003 Å, 100.68 100.68 28.02°
With the nearest neighbours (Å) after each atom.
Positions (direct):
1 Li 0.0000 0.0000 0.0000  2 P 2.28
2 Li 0.1228 0.1228 0.7318  4 P 2.49-2.61, 3 Li 2.61-2.73
3 Li 0.1824 0.1824 0.4907  4 P 2.52-2.62, 1 Li 2.73
4 Li 0.2901 0.2901 0.0922  4 P 2.36-2.52, 1 Li 2.48
5 Li 0.4486 0.4486 0.1605  5 Li 2.48-2.76, 4 P 2.73-2.75
6 Li 0.5514 0.5514 0.8395  5 Li 2.48-2.76, 4 P 2.73-2.75
7 Li 0.7099 0.7099 0.9078  4 P 2.36-2.52, 1 Li 2.48
8 Li 0.8176 0.8176 0.5093  4 P 2.52-2.62, 1 Li 2.73
9 Li 0.8772 0.8772 0.2682  4 P 2.49-2.61, 3 Li 2.61-2.73
10 Sm 0.3350 0.3350 0.7829  6 P 2.95-3.10, 3 Li 3.22-3.27
11 Sm 0.5000 0.5000 0.5000  6 P 2.92-3.15
12 Sm 0.6650 0.6650 0.2171  6 P 2.95-3.10, 3 Li 3.22-3.27
13 P 0.0442 0.0442 0.3085  4 Li 2.56-2.75
14 P 0.1427 0.1427 0.9918  5 Li 2.28-2.53
15 P 0.3064 0.3064 0.3501  6 Li 2.49-2.62
16 P 0.6936 0.6936 0.6499  6 Li 2.49-2.62
17 P 0.8573 0.8573 0.0082  5 Li 2.28-2.53
18 P 0.9558 0.9558 0.6915  4 Li 2.56-2.75

## Properties
- symmetry = C2/m
- DOS at the Fermi energy (states/eV/f.u.) = 0.01
- DFT formation energy (eV/atom) = -0.91

# 5
The following is a DFT calculation (PBE) of a geometry-optimized SrLi2SmP2 structure.

Cell: 4.2445 4.2445 7.9120 Å, 90.00 90.00 120.00°
With the nearest neighbours (Å) after each atom.
Positions (direct):
1 Sr 0.0000 0.0000 0.0000  6 Li 3.22, 6 P 3.24
2 Li 0.3333 0.6667 0.7360  3 P 2.45
3 Li 0.6667 0.3333 0.2640  3 P 2.45
4 Sm 0.0000 0.0000 0.5000  6 P 3.06, 6 Li 3.08
5 P 0.3333 0.6667 0.2683  3 Li 2.45
6 P 0.6667 0.3333 0.7317  3 Li 2.45

## Properties
- symmetry = P-3m1
- DOS at the Fermi energy (states/eV/f.u.) = 2.55
- DFT formation energy (eV/atom) = -0.97

# 6
The following is a DFT calculation (PBE) of a geometry-optimized LiSnP structure.

Cell: 6.5409 6.5409 5.8971 Å, 108.69 108.69 32.57°
With the nearest neighbours (Å) after each atom.
Positions (direct):
1 Li 0.2316 0.2316 0.2702  3 P 2.54-2.59
2 Li 0.7684 0.7684 0.7298  3 P 2.54-2.59
3 Sn 0.0574 0.0574 0.7810  2 P 2.62
4 Sn 0.9426 0.9426 0.2190  2 P 2.62
5 P 0.3992 0.3992 0.6594  3 Li 2.54-2.59, 2 Sn 2.62
6 P 0.6008 0.6008 0.3406  3 Li 2.54-2.59, 2 Sn 2.62

## Properties
- symmetry = C2/m
- DOS at the Fermi energy (states/eV/f.u.) = 0.83
- DFT formation energy (eV/atom) = -0.15

# 7
The following is a DFT calculation (PBE) of a geometry-optimized Li2SnP structure.

Cell: 4.6189 4.6189 4.6189 Å, 60.00 60.00 60.00°
With the nearest neighbours (Å) after each atom.
Positions (direct):
1 Li 0.2500 0.2500 0.2500  4 P 2.83, 4 Sn 2.83
2 Li 0.7500 0.7500 0.7500  4 Sn 2.83, 4 P 2.83
3 Sn 0.0000 0.0000 0.0000  8 Li 2.83
4 P 0.5000 0.5000 0.5000  8 Li 2.83

## Properties
- symmetry = Fm-3m
- DOS at the Fermi energy (states/eV/f.u.) = 1.90
- DFT formation energy (eV/atom) = -0.22

# 8
The following is a DFT calculation (PBE) of a geometry-optimized Li3SnP2 structure.

Cell: 7.4797 7.4797 7.4797 Å, 132.94 72.23 128.60°
With the nearest neighbours (Å) after each atom.
Positions (direct):
1 Li 0.0160 0.7500 0.2660  4 P 2.55-2.62
2 Li 0.2500 0.2500 0.0000  4 P 2.67
3 Li 0.4840 0.7500 0.7340  4 P 2.55-2.62
4 Li 0.5160 0.2500 0.2660  4 P 2.55-2.62
5 Li 0.7500 0.7500 0.0000  4 P 2.67
6 Li 0.9840 0.2500 0.7340  4 P 2.55-2.62
7 Sn 0.0000 0.5000 0.5000  2 P 2.43
8 Sn 0.5000 0.0000 0.5000  2 P 2.43
9 P 0.1414 0.2114 0.3529  1 Sn 2.43, 6 Li 2.55-2.67
10 P 0.3586 0.7114 0.0700  1 Sn 2.43, 6 Li 2.55-2.67
11 P 0.6414 0.2886 0.9300  1 Sn 2.43, 6 Li 2.55-2.67
12 P 0.8586 0.7886 0.6471  1 Sn 2.43, 6 Li 2.55-2.67

## Properties
- symmetry = Ibam
- DOS at the Fermi energy (states/eV/f.u.) = 2.77
- DFT formation energy (eV/atom) = -0.27

# 9
The following is a DFT calculation (PBE) of a geometry-optimized Li2SnP structure.

Cell: 9.5202 9.5202 9.5202 Å, 155.29 155.29 35.22°
With the nearest neighbours (Å) after each atom.
Positions (direct):
1 Li 0.0883 0.6250 0.9633  2 P 2.63, 2 Li 2.68, 2 Sn 2.75
2 Li 0.3750 0.3383 0.4633  2 P 2.63, 2 Li 2.68, 2 Sn 2.75
3 Li 0.6617 0.1250 0.0367  2 P 2.63, 2 Li 2.68, 2 Sn 2.75
4 Li 0.8750 0.9117 0.5367  2 P 2.63, 2 Li 2.68, 2 Sn 2.75
5 Sn 0.2500 0.7500 0.5000  4 Li 2.75, 4 P 2.88
6 Sn 0.5000 0.5000 0.0000  4 Li 2.75, 4 P 2.88
7 P 0.0000 0.0000 0.0000  4 Li 2.63, 4 Sn 2.88
8 P 0.7500 0.2500 0.5000  4 Li 2.63, 4 Sn 2.88

## Properties
- symmetry = I-42d
- DOS at the Fermi energy (states/eV/f.u.) = 1.49
- DFT formation energy (eV/atom) = -0.20

# 10
The following is a DFT calculation (PBE) of a geometry-optimized LiSnP structure.

Cell: 3.8432 3.8432 5.3364 Å, 90.00 90.00 120.00°
With the nearest neighbours (Å) after each atom.
Positions (direct):
1 Li 0.0000 0.0000 0.0000  3 P 2.60
2 Sn 0.3333 0.6667 0.5204  3 P 2.63
3 P 0.6667 0.3333 0.2551  3 Li 2.60, 3 Sn 2.63

## Properties
- symmetry = P3m1
- DFT formation energy (eV/atom) = -0.30

# 11
The following is a DFT calculation (PBE) of a geometry-optimized Li2SnP structure.

Cell: 3.3071 3.3071 6.3178 Å, 90.00 90.00 90.00°
With the nearest neighbours (Å) after each atom.
Positions (direct):
1 Li 0.0000 0.0000 0.1999  1 Li 2.53, 4 P 2.66
2 Li 0.0000 0.0000 0.8001  1 Li 2.53, 4 P 2.66
3 Sn 0.5000 0.5000 0.5000  8 Li 3.01, 2 P 3.16, 4 Sn 3.31
4 P 0.5000 0.5000 0.0000  8 Li 2.66

## Properties
- symmetry = P4/mmm
- DOS at the Fermi energy (states/eV/f.u.) = 1.79
- DFT formation energy (eV/atom) = -0.27

# 12
The following is a DFT calculation (PBE) of a geometry-optimized Li8SnP2 structure.

Cell: 7.0804 7.0804 7.0804 Å, 145.27 119.65 71.55°
With the nearest neighbours (Å) after each atom.
Positions (direct):
1 Li 0.1321 0.3354 0.7967  1 Li 2.49, 3 P 2.60-2.62
2 Li 0.1591 0.1591 0.0000  2 Li 2.49, 2 P 2.65
3 Li 0.3104 0.0000 0.3104  2 P 2.68, 7 Li 2.70-2.87
4 Li 0.4612 0.6646 0.7967  1 Li 2.49, 3 P 2.60-2.62
5 Li 0.5388 0.3354 0.2033  1 Li 2.49, 3 P 2.60-2.62
6 Li 0.6896 0.0000 0.6896  2 P 2.68, 7 Li 2.70-2.87
7 Li 0.8409 0.8409 0.0000  2 Li 2.49, 2 P 2.65
8 Li 0.8679 0.6646 0.2033  1 Li 2.49, 3 P 2.60-2.62
9 Sn 0.0000 0.5000 0.5000  12 Li 2.79-3.06
10 P 0.2988 0.7988 0.5000  10 Li 2.60-2.68
11 P 0.7012 0.2012 0.5000  10 Li 2.60-2.68

## Properties
- symmetry = Immm
- DOS at the Fermi energy (states/eV/f.u.) = 1.36
- DFT formation energy (eV/atom) = -0.52

# 13
The following is a DFT calculation (PBE) of a geometry-optimized LiSnP structure.

Cell: 4.1144 4.1144 8.9317 Å, 103.26 103.26 59.92°
With the nearest neighbours (Å) after each atom.
Positions (direct):
1 Li 0.1984 0.1984 0.0943  4 P 2.56-2.58
2 Li 0.8016 0.8016 0.9057  4 P 2.56-2.58
3 Sn 0.3786 0.3786 0.6366  3 P 2.74
4 Sn 0.6214 0.6214 0.3634  3 P 2.74
5 P 0.0978 0.0978 0.7944  4 Li 2.56-2.58, 3 Sn 2.74
6 P 0.9022 0.9022 0.2056  4 Li 2.56-2.58, 3 Sn 2.74

## Properties
- symmetry = C2/m
- DOS at the Fermi energy (states/eV/f.u.) = 0.15
- DFT formation energy (eV/atom) = -0.35

# 14
The following is a DFT calculation (PBE) of a geometry-optimized LiSnP3 structure.

Cell: 4.4998 4.4998 4.4998 Å, 90.00 90.00 90.00°
With the nearest neighbours (Å) after each atom.
Positions (direct):
1 Li 0.0000 0.0000 0.0000  6 P 2.25
2 Sn 0.5000 0.5000 0.5000  12 P 3.18
3 P 0.0000 0.0000 0.5000  2 Li 2.25
4 P 0.0000 0.5000 0.0000  2 Li 2.25
5 P 0.5000 0.0000 0.0000  2 Li 2.25

## Properties
- symmetry = Pm-3m
- DOS at the Fermi energy (states/eV/f.u.) = 3.61
- DFT formation energy (eV/atom) = 0.67

# 15
The following is a DFT calculation (PBE) of a geometry-optimized LiSnP structure.

Cell: 5.3202 5.3202 5.3202 Å, 140.27 140.27 57.44°
With the nearest neighbours (Å) after each atom.
Positions (direct):
1 Li 0.0000 0.0000 0.0000  5 Sn 2.87-3.12, 5 P 2.88-3.12
2 Sn 0.6924 0.6924 0.0000  4 P 2.78, 1 Li 2.87
3 P 0.3090 0.3090 0.0000  4 Sn 2.78, 1 Li 2.88

## Properties
- symmetry = I4mm
- DOS at the Fermi energy (states/eV/f.u.) = 1.24
- DFT formation energy (eV/atom) = -0.10

# 16
The following is a DFT calculation (PBE) of a geometry-optimized Li2SnP structure.

Cell: 5.2407 5.2407 5.2407 Å, 47.41 47.41 47.41°
With the nearest neighbours (Å) after each atom.
Positions (direct):
1 Li 0.2143 0.2143 0.2143  3 P 2.52, 3 Li 2.77
2 Li 0.7857 0.7857 0.7857  3 P 2.52, 3 Li 2.77
3 Sn 0.0000 0.0000 0.0000  8 Li 2.94-2.98
4 P 0.5000 0.5000 0.5000  6 Li 2.52

## Properties
- symmetry = R-3m
- DOS at the Fermi energy (states/eV/f.u.) = 1.62
- DFT formation energy (eV/atom) = -0.25

# 17
The following is a DFT calculation (PBE) of a geometry-optimized SrLiSnP2 structure.

Cell: 6.7637 6.7637 8.4917 Å, 98.91 98.91 42.03°
With the nearest neighbours (Å) after each atom.
Positions (direct):
1 Sr 0.1474 0.1474 0.1849  4 P 3.01-3.25, 1 Li 3.19
2 Sr 0.8526 0.8526 0.8151  4 P 3.01-3.25, 1 Li 3.19
3 Li 0.1673 0.1673 0.5638  4 P 2.45-2.70
4 Li 0.8327 0.8327 0.4362  4 P 2.45-2.70
5 Sn 0.4347 0.4347 0.2903  4 P 2.60-2.70
6 Sn 0.5653 0.5653 0.7097  4 P 2.60-2.70
7 P 0.1107 0.1107 0.8257  1 Li 2.45, 2 Sn 2.64
8 P 0.3653 0.3653 0.5746  3 Li 2.49-2.70, 2 Sn 2.60-2.70
9 P 0.6347 0.6347 0.4254  3 Li 2.49-2.70, 2 Sn 2.60-2.70
10 P 0.8893 0.8893 0.1743  1 Li 2.45, 2 Sn 2.64

## Properties
- symmetry = C2/m
- DOS at the Fermi energy (states/eV/f.u.) = 0.49
- DFT formation energy (eV/atom) = -0.56

# 18
The following is a DFT calculation (PBE) of a geometry-optimized Sr3LiP structure.

Cell: 5.9598 5.9598 5.9598 Å, 90.00 90.00 90.00°
With the nearest neighbours (Å) after each atom.
Positions (direct):
1 Sr 0.0000 0.0000 0.5000  2 P 2.98
2 Sr 0.0000 0.5000 0.0000  2 P 2.98
3 Sr 0.5000 0.0000 0.0000  2 P 2.98
4 Li 0.5000 0.5000 0.5000  12 Sr 4.21
5 P 0.0000 0.0000 0.0000  6 Sr 2.98

## Properties
- symmetry = Pm-3m
- DOS at the Fermi energy (states/eV/f.u.) = 5.18
- DFT formation energy (eV/atom) = -0.45

# 19
The following is a DFT calculation (PBE) of a geometry-optimized SrLiP structure.

Cell: 4.7100 4.7100 7.8930 Å, 90.00 90.00 90.00°
With the nearest neighbours (Å) after each atom.
Positions (direct):
1 Sr 0.0000 0.0000 0.2500  4 P 3.07
2 Sr 0.0000 0.0000 0.7500  4 P 3.07
3 Li 0.5000 0.5000 0.0000  2 P 2.36
4 Li 0.5000 0.5000 0.5000  2 P 2.36
5 P 0.0000 0.5000 0.0000  2 Li 2.36
6 P 0.5000 0.0000 0.5000  2 Li 2.36

## Properties
- symmetry = P4_2/mmc
- DFT formation energy (eV/atom) = -0.84

# 20
The following is a DFT calculation (PBE) of a geometry-optimized SrLi4P2 structure.

Cell: 8.2310 8.2310 8.2310 Å, 30.23 30.23 30.23°
With the nearest neighbours (Å) after each atom.
Positions (direct):
1 Sr 0.0000 0.0000 0.0000  6 P 3.22, 8 Li 3.24-3.37
2 Li 0.1377 0.1377 0.1377  4 P 2.55-2.75, 6 Li 2.66-2.83
3 Li 0.4305 0.4305 0.4305  3 P 2.49, 3 Li 2.66
4 Li 0.5695 0.5695 0.5695  3 P 2.49, 3 Li 2.66
5 Li 0.8623 0.8623 0.8623  4 P 2.55-2.75, 6 Li 2.66-2.83
6 P 0.2459 0.2459 0.2459  7 Li 2.49-2.75
7 P 0.7541 0.7541 0.7541  7 Li 2.49-2.75

## Properties
- symmetry = R-3m
- DFT formation energy (eV/atom) = -0.83